No. 1
# LiBeCl3

A geometry-optimized LiBeCl3 structure (GGA-PBE, Alexandria).

Symmetry: No. 15
ΔE to the lowest computed polymorph (meV per atom): 3

Lattice parameters (Å, degrees): 6.153 8.222 8.222 86.69 78.75 78.75
Element x y z (fractional)
Li  0.750  0.258  0.742
Li  0.250  0.115  0.885
Li  0.750  0.885  0.115
Li  0.250  0.742  0.258
Be  0.778  0.379  0.213
Be  0.278  0.213  0.379
Be  0.722  0.787  0.621
Be  0.222  0.621  0.787
Cl  0.568  0.293  0.413
Cl  0.640  0.969  0.790
Cl  0.068  0.413  0.293
Cl  0.932  0.587  0.707
Cl  0.871  0.859  0.396
Cl  0.140  0.790  0.969
Cl  0.432  0.707  0.587
Cl  0.860  0.210  0.031
Cl  0.360  0.031  0.210
Cl  0.371  0.396  0.859
Cl  0.129  0.141  0.604
Cl  0.629  0.604  0.141

***

No. 2
# Tb3P2Se

A geometry-optimized Tb3P2Se structure (GGA-PBE, Alexandria).

Symmetry: No. 71
ΔE to the lowest computed polymorph (meV per atom): 0

Lattice parameters (Å, degrees): 4.041 5.735 7.024 114.10 106.72 90.00
Element x y z (fractional)
Tb  0.823  0.323  0.147
Tb  0.177  0.677  0.853
Tb  0.500  0.000  0.500
P  0.836  0.836  0.171
P  0.164  0.164  0.829
Se  0.500  0.500  0.500

***

No. 3
# MgVGa2H

A geometry-optimized MgVGa2H structure (GGA-PBE, Alexandria).

Symmetry: No. 123
Raw total energy (eV per atom): -3.031

Lattice parameters (Å, degrees): 4.959 5.391 4.959 90.00 90.00 90.00
Last column: magnetic moment on the atom in μB.
Element x y z (fractional)
H  0.500  0.500  0.500  0.24
Mg  0.000  0.500  0.000  0.04
Ga  0.000  0.000  0.500  0.19
Ga  0.500  0.000  0.000  0.18
V  0.000  0.000  0.000  2.80

***

No. 4
# Tm8Co3Pd2

A geometry-optimized Tm8Co3Pd2 structure (GGA-PBE, Alexandria).

Symmetry: No. 10
Formation energy (eV per atom): -0.3706

Lattice parameters (Å, degrees): 4.663 9.437 8.275 124.82 90.00 90.00
Element x y z (fractional)
Tm  0.000  0.618  0.234
Tm  0.000  0.382  0.766
Tm  0.000  0.119  0.237
Tm  0.000  0.881  0.763
Tm  0.500  0.635  0.765
Tm  0.500  0.129  0.764
Tm  0.500  0.871  0.236
Tm  0.500  0.365  0.235
Co  0.500  0.000  0.000
Co  0.000  0.246  0.000
Co  0.000  0.754  0.000
Pd  0.500  0.251  0.502
Pd  0.500  0.749  0.498

***

No. 5
# K3U3AgS8

A geometry-optimized K3U3AgS8 structure (GGA-PBE, Alexandria).

Symmetry: No. 166
Raw total energy (eV per atom): -6.121

Lattice parameters (Å, degrees): 7.982 7.979 8.748 117.11 90.00 120.01
Last column: magnetic moment on the atom in μB.
Element x y z (fractional)
K  0.000  0.000  0.000  0.00
K  0.000  0.500  0.000  0.00
K  0.500  0.500  0.000  0.00
U  0.500  0.000  0.500  2.04
U  0.500  0.500  0.500  2.04
U  0.000  0.500  0.500  2.04
Ag  0.000  0.000  0.500  -0.02
S  0.265  0.531  0.296  -0.05
S  0.735  0.469  0.704  -0.05
S  0.758  0.516  0.302  -0.06
S  0.242  0.484  0.698  -0.06
S  0.758  0.044  0.301  -0.06
S  0.242  0.956  0.699  -0.06
S  0.286  0.044  0.301  -0.06
S  0.714  0.956  0.699  -0.06

***

No. 6
# DyHo2PaAs4

A geometry-optimized DyHo2PaAs4 structure (GGA-PBE, Alexandria).

Symmetry: No. 10
Formation energy (eV per atom): -1.4130

Lattice parameters (Å, degrees): 4.105 7.092 7.088 109.48 90.00 90.00
Last column: magnetic moment on the atom in μB.
Element x y z (fractional)
Dy  0.000  0.000  0.000  0.00
Ho  0.500  0.000  0.500  0.00
Ho  0.000  0.500  0.500  0.00
Pa  0.500  0.500  0.000  0.08
As  0.500  0.253  0.249  0.00
As  0.500  0.747  0.751  0.00
As  0.000  0.251  0.750  0.00
As  0.000  0.749  0.250  0.00

***

No. 7
# AcSm3Mg2

A geometry-optimized AcSm3Mg2 structure (GGA-PBE, Alexandria).

Symmetry: No. 123
Formation energy (eV per atom): -0.0534

Lattice parameters (Å, degrees): 3.849 3.849 12.973 90.00 90.00 90.00
Element x y z (fractional)
Ac  0.500  0.500  0.500
Sm  0.000  0.000  0.000
Sm  0.000  0.000  0.705
Sm  0.000  0.000  0.295
Mg  0.500  0.500  0.853
Mg  0.500  0.500  0.147

***

No. 8
# AcErSbO6

A geometry-optimized AcErSbO6 structure (GGA-PBE, Alexandria).

Symmetry: No. 149
Raw total energy (eV per atom): -7.178

Lattice parameters (Å, degrees): 5.246 5.660 5.660 120.00 90.00 90.00
Last column: magnetic moment on the atom in μB.
Element x y z (fractional)
Ac  0.000  0.333  0.667  0.01
Er  0.500  0.667  0.333  0.00
Sb  0.500  0.000  0.000  -0.01
O  0.714  0.711  0.698  0.15
O  0.714  0.302  0.013  0.15
O  0.714  0.987  0.289  0.15
O  0.286  0.302  0.289  0.15
O  0.286  0.711  0.013  0.15
O  0.286  0.987  0.698  0.15

***

Q: What is the formula in the third record?
A: MgVGa2H

***

Q: Number 6 is which compound?
A: DyHo2PaAs4

***

Please write out number 7 again, unchanged.
# AcSm3Mg2

A geometry-optimized AcSm3Mg2 structure (GGA-PBE, Alexandria).

Symmetry: No. 123
Formation energy (eV per atom): -0.0534

Lattice parameters (Å, degrees): 3.849 3.849 12.973 90.00 90.00 90.00
Element x y z (fractional)
Ac  0.500  0.500  0.500
Sm  0.000  0.000  0.000
Sm  0.000  0.000  0.705
Sm  0.000  0.000  0.295
Mg  0.500  0.500  0.853
Mg  0.500  0.500  0.147